The following is a PBE calculation of a relaxed Ce12Zn3H5 crystal, from Alexandria via LeMat-Bulk.

- Total moment: 52.94 μB per cell
- E_tot: -4.642 eV/atom

Structure (POSCAR):
```
Ce12Zn3H5
1.0
-7.661 7.661 7.661
7.661 -7.661 7.661
7.661 7.661 -7.661
Ce Zn H
48 12 20
Direct
0.020 0.210 0.105 Ce
0.020 0.310 0.915 Ce
0.085 0.605 0.395 Ce
0.085 0.980 0.690 Ce
0.105 0.020 0.210 Ce
0.105 0.585 0.895 Ce
0.105 0.710 0.690 Ce
0.105 0.895 0.415 Ce
0.190 0.210 0.605 Ce
0.190 0.480 0.585 Ce
0.210 0.105 0.020 Ce
0.210 0.605 0.190 Ce
0.290 0.310 0.895 Ce
0.290 0.480 0.395 Ce
0.310 0.895 0.290 Ce
0.310 0.915 0.020 Ce
0.395 0.085 0.605 Ce
0.395 0.290 0.480 Ce
0.395 0.605 0.915 Ce
0.395 0.810 0.790 Ce
0.415 0.105 0.895 Ce
0.415 0.810 0.520 Ce
0.480 0.395 0.290 Ce
0.480 0.585 0.190 Ce
0.520 0.415 0.810 Ce
0.520 0.605 0.710 Ce
0.585 0.190 0.480 Ce
0.585 0.895 0.105 Ce
0.605 0.190 0.210 Ce
0.605 0.395 0.085 Ce
0.605 0.710 0.520 Ce
0.605 0.915 0.395 Ce
0.690 0.085 0.980 Ce
0.690 0.105 0.710 Ce
0.710 0.520 0.605 Ce
0.710 0.690 0.105 Ce
0.790 0.395 0.810 Ce
0.790 0.895 0.980 Ce
0.810 0.520 0.415 Ce
0.810 0.790 0.395 Ce
0.895 0.105 0.585 Ce
0.895 0.290 0.310 Ce
0.895 0.415 0.105 Ce
0.895 0.980 0.790 Ce
0.915 0.020 0.310 Ce
0.915 0.395 0.605 Ce
0.980 0.690 0.085 Ce
0.980 0.790 0.895 Ce
0.125 0.250 0.375 Zn
0.125 0.375 0.750 Zn
0.250 0.375 0.125 Zn
0.250 0.875 0.625 Zn
0.375 0.125 0.250 Zn
0.375 0.750 0.125 Zn
0.625 0.250 0.875 Zn
0.625 0.875 0.750 Zn
0.750 0.125 0.375 Zn
0.750 0.625 0.875 Zn
0.875 0.625 0.250 Zn
0.875 0.750 0.625 Zn
0.000 0.000 0.000 H
0.000 0.000 0.500 H
0.000 0.500 0.000 H
0.000 0.500 0.500 H
0.125 0.750 0.875 H
0.125 0.875 0.250 H
0.250 0.125 0.875 H
0.250 0.625 0.375 H
0.375 0.250 0.625 H
0.375 0.625 0.750 H
0.500 0.000 0.000 H
0.500 0.000 0.500 H
0.500 0.500 0.000 H
0.500 0.500 0.500 H
0.625 0.375 0.250 H
0.625 0.750 0.375 H
0.750 0.375 0.625 H
0.750 0.875 0.125 H
0.875 0.125 0.750 H
0.875 0.250 0.125 H
```